{
  "formula": "Rb3U2S2O5",
  "functional": "PBE-GGA",
  "state": "relaxed",
  "raw_formation_energy_ev_per_atom": -2.329,
  "crystal_system": "tetragonal",
  "lattice": [[4.352, 0.000, 0.000], [0.000, 4.352, 0.000], [-2.176, -2.176, 13.559]],
  "species": ["Rb", "Rb", "Rb", "U", "U", "O", "O", "O", "O", "O", "S", "S"],
  "frac_coords": [[0.194, 0.194, 0.387], [0.806, 0.806, 0.613], [0.000, 0.000, 0.000], [0.420, 0.420, 0.840], [0.580, 0.580, 0.160], [0.578, 0.078, 0.155], [0.422, 0.922, 0.845], [0.922, 0.422, 0.845], [0.078, 0.578, 0.155], [0.500, 0.500, 0.000], [0.326, 0.326, 0.653], [0.674, 0.674, 0.347]]
}